# GGA-PBE Dy2ErTlC, optimized geometry
data_Dy2ErTlC
_chemical_formula_sum 'Dy2 Er1 Tl1 C1'
_cell_length_a 4.923
_cell_length_b 4.923
_cell_length_c 4.869
_cell_angle_alpha 90.00
_cell_angle_beta 90.00
_cell_angle_gamma 90.00
_space_group_name_H-M_alt 'P 4/m m m'
_space_group_IT_number 123
_space_group_name_Hall '-P 4 2'
loop_
_atom_site_label
_atom_site_fract_x
_atom_site_fract_y
_atom_site_fract_z
Dy1 0.000 0.500 0.000
Er1 0.000 0.000 0.500
Tl1 0.500 0.500 0.500
C1 0.000 0.000 0.000
# Total moment in μB/cell: 0.00
# Energy of formation in eV per atom: -0.466

# GGA-PBE Si2SeBr, optimized geometry
data_Si2SeBr
_chemical_formula_sum 'Si2 Se1 Br1'
_cell_length_a 3.629
_cell_length_b 3.988
_cell_length_c 6.148
_cell_angle_alpha 90.00
_cell_angle_beta 90.00
_cell_angle_gamma 90.00
_space_group_name_H-M_alt 'P m m m'
_space_group_IT_number 47
_space_group_name_Hall '-P 2 2'
loop_
_atom_site_label
_atom_site_fract_x
_atom_site_fract_y
_atom_site_fract_z
Si1 0.000 0.000 0.000
Si2 0.500 0.000 0.500
Se1 0.000 0.500 0.500
Br1 0.500 0.500 0.000
# Uncorrected formation energy in meV per atom: 506
# Total moment in μB/cell: 0.00

# GGA-PBE Zr8InBi2, optimized geometry
data_Zr8InBi2
_chemical_formula_sum 'Zr16 In2 Bi4'
_cell_length_a 7.839
_cell_length_b 13.708
_cell_length_c 5.499
_cell_angle_alpha 90.00
_cell_angle_beta 114.82
_cell_angle_gamma 90.00
_space_group_name_H-M_alt 'C 1 2/m 1'
_space_group_IT_number 12
_space_group_name_Hall '-C 2y'
loop_
_atom_site_label
_atom_site_fract_x
_atom_site_fract_y
_atom_site_fract_z
Zr1 0.000 0.222 0.000
Zr2 0.089 0.500 0.800
Zr3 0.203 0.108 0.656
In1 0.000 0.000 0.000
Bi1 0.000 0.304 0.500
# Total moment in μB/cell: 0.00
# Energy of formation in eV per atom: -0.048

# GGA-PBE Zr6PbC, optimized geometry
data_Zr6PbC
_chemical_formula_sum 'Zr18 Pb3 C3'
_cell_length_a 8.7441
_cell_length_b 8.7441
_cell_length_c 7.7806
_cell_angle_alpha 90.00
_cell_angle_beta 90.00
_cell_angle_gamma 120.00
_space_group_name_H-M_alt 'R -3'
_space_group_IT_number 148
_space_group_name_Hall '-R 3'
loop_
_atom_site_label
_atom_site_fract_x
_atom_site_fract_y
_atom_site_fract_z
Zr1 0.0793 0.8303 0.1570
Pb1 0.0000 0.0000 0.5000
C1 0.0000 0.0000 0.0000
# Total moment in μB/cell: 0.00
# Energy of formation in eV per atom: -0.263

Number 3 is which compound?
Zr8InBi2

Repeat the second record exactly.
# GGA-PBE Si2SeBr, optimized geometry
data_Si2SeBr
_chemical_formula_sum 'Si2 Se1 Br1'
_cell_length_a 3.629
_cell_length_b 3.988
_cell_length_c 6.148
_cell_angle_alpha 90.00
_cell_angle_beta 90.00
_cell_angle_gamma 90.00
_space_group_name_H-M_alt 'P m m m'
_space_group_IT_number 47
_space_group_name_Hall '-P 2 2'
loop_
_atom_site_label
_atom_site_fract_x
_atom_site_fract_y
_atom_site_fract_z
Si1 0.000 0.000 0.000
Si2 0.500 0.000 0.500
Se1 0.000 0.500 0.500
Br1 0.500 0.500 0.000
# Uncorrected formation energy in meV per atom: 506
# Total moment in μB/cell: 0.00